# 1
The following is a DFT calculation (SCAN) of Sc2TaP at its PBEsol-relaxed geometry.

Results
The calculation puts the formation enthalpy at 0 K at -0.311 eV per atom.

a = 3.9241 Å, b = 4.1722 Å, c = 4.1722 Å
α = 90.00°, β = 90.00°, γ = 90.00°
Positions (direct):
P: 0.5000 0.0000 0.0000
Sc: 0.0000 0.0000 0.5000
Sc: 0.0000 0.5000 0.0000
Ta: 0.5000 0.5000 0.5000

=====

# 2
The following is a DFT calculation (SCAN) of ScTa2P at its PBEsol-relaxed geometry.

Results
The calculation puts the formation enthalpy at 0 K at -0.259 eV per atom.

a = 3.5691 Å, b = 4.1806 Å, c = 4.4137 Å
α = 90.00°, β = 90.00°, γ = 90.00°
Positions (direct):
P: 0.5000 0.0000 0.5000
Sc: 0.0000 0.5000 0.5000
Ta: 0.0000 0.0000 0.0000
Ta: 0.5000 0.5000 0.0000

=====

# 3
The following is a DFT calculation (SCAN) of ScTaP2 at its PBEsol-relaxed geometry.

Results
The calculation puts the formation enthalpy at 0 K at -0.065 eV per atom. The value obtained for the polymorph energy (0 for the lowest one) is 610 meV/atom.

a = 3.1154 Å, b = 3.1154 Å, c = 8.0917 Å
α = 78.90°, β = 78.90°, γ = 60.00°
Positions (direct):
P: 0.0059 0.0059 0.9822
P: 0.7389 0.7389 0.7834
Sc: 0.4941 0.4941 0.5178
Ta: 0.2611 0.2611 0.2167

=====

# 4
The following is a DFT calculation (SCAN) of Sc2TaP at its PBEsol-relaxed geometry.

Results
The calculation puts the formation enthalpy at 0 K at -0.477 eV per atom.

a = 3.7073 Å, b = 3.9248 Å, c = 5.4810 Å
α = 90.00°, β = 109.77°, γ = 90.00°
Positions (direct):
P: 0.5484 0.5000 0.0968
Sc: 0.9781 0.0000 0.9562
Sc: 0.2769 0.5000 0.5539
Ta: 0.6948 0.0000 0.3896

=====

# 5
The following is a DFT calculation (SCAN) of ScTaP at its PBEsol-relaxed geometry.

Results
The calculation puts the formation enthalpy at 0 K at -0.637 eV per atom.

a = 3.3531 Å, b = 3.3531 Å, c = 5.5791 Å
α = 90.00°, β = 90.00°, γ = 120.00°
Each line ends with the local moment (μB).
Positions (direct):
P: 0.0000 0.0000 0.0115  0.01
Sc: 0.3333 0.6667 0.7084  0.15
Ta: 0.6667 0.3333 0.2800  0.19

=====

# 6
The following is a DFT calculation (SCAN) of ScTaP2 at its PBEsol-relaxed geometry.

Results
The calculation puts the formation enthalpy at 0 K at -0.467 eV per atom. The value obtained for the polymorph energy (0 for the lowest one) is 208 meV/atom.

a = 3.5821 Å, b = 3.5821 Å, c = 5.6321 Å
α = 108.54°, β = 108.54°, γ = 90.00°
Positions (direct):
P: 0.0000 0.0000 0.0000
P: 0.7500 0.2500 0.5000
Sc: 0.5000 0.5000 0.0000
Ta: 0.2500 0.7500 0.5000

=====

# 7
The following is a DFT calculation (SCAN) of ScTa2P at its PBEsol-relaxed geometry.

Results
The calculation puts the formation enthalpy at 0 K at -0.234 eV per atom.

a = 3.2616 Å, b = 4.7327 Å, c = 4.8048 Å
α = 104.20°, β = 90.00°, γ = 110.16°
Positions (direct):
P: 0.5043 0.0085 0.5239
Sc: 0.7693 0.5387 0.2705
Ta: 0.9969 0.9938 0.9865
Ta: 0.2295 0.4590 0.7191

=====

# 8
The following is a DFT calculation (SCAN) of ScTaP2 at its PBEsol-relaxed geometry.

Results
The calculation puts the formation enthalpy at 0 K at -0.675 eV per atom. The value obtained for the polymorph energy (0 for the lowest one) is 0 meV/atom.

a = 3.7823 Å, b = 4.5921 Å, c = 4.5921 Å
α = 64.19°, β = 65.68°, γ = 65.68°
Positions (direct):
P: 0.2481 0.7519 0.7519
P: 0.7519 0.2481 0.2481
Sc: 0.5000 0.0000 0.0000
Ta: 0.0000 0.5000 0.5000

=====

# 9
The following is a DFT calculation (SCAN) of ScTa2P at its PBEsol-relaxed geometry.

Results
The calculation puts the formation enthalpy at 0 K at -0.171 eV per atom.

a = 2.9607 Å, b = 2.9607 Å, c = 8.2613 Å
α = 90.00°, β = 90.00°, γ = 106.12°
Positions (direct):
P: 0.5000 0.5000 0.5000
Sc: 0.5000 0.5000 0.0000
Ta: 0.0000 0.0000 0.2931
Ta: 0.0000 0.0000 0.7069

=====

# 10
The following is a DFT calculation (SCAN) of Sc3TcP at its PBEsol-relaxed geometry.

Results
The calculation puts the formation enthalpy at 0 K at 0.120 eV per atom.

a = 4.8329 Å, b = 4.8329 Å, c = 4.8329 Å
α = 90.00°, β = 90.00°, γ = 90.00°
Positions (direct):
Sc: 0.0000 0.5000 0.0000
Sc: 0.0000 0.0000 0.5000
Sc: 0.5000 0.0000 0.0000
P: 0.5000 0.5000 0.5000
Tc: 0.0000 0.0000 0.0000

=====

# 11
The following is a DFT calculation (SCAN) of Sc4TcP at its PBEsol-relaxed geometry.

Results
The calculation puts the formation enthalpy at 0 K at 0.516 eV per atom.

a = 5.3769 Å, b = 5.3769 Å, c = 5.3769 Å
α = 60.00°, β = 60.00°, γ = 60.00°
Positions (direct):
P: 0.0000 0.0000 0.0000
Sc: 0.3768 0.3768 0.3768
Sc: 0.3768 0.3768 0.8695
Sc: 0.8695 0.3768 0.3768
Sc: 0.3768 0.8695 0.3768
Tc: 0.7500 0.7500 0.7500

=====

# 12
The following is a DFT calculation (SCAN) of ScTeP2 at its PBEsol-relaxed geometry.

Results
Its uncorrected formation energy is -221 meV/atom.

a = 3.5048 Å, b = 4.0887 Å, c = 5.3479 Å
α = 90.00°, β = 90.00°, γ = 90.00°
Positions (direct):
P: 0.0000 0.0000 0.0000
P: 0.0000 0.5000 0.5000
Sc: 0.5000 0.5000 0.0000
Te: 0.5000 0.0000 0.5000